Density functional theory data (PBE) for Cr2SbP after structural relaxation.

Cell and atoms, written as POSCAR:
```
Cr2SbP
1.0
0.0000 3.0662 3.0662
3.0662 0.0000 3.0662
3.0662 3.0662 0.0000
Cr Sb P
2 1 1
Direct
0.2500 0.2500 0.2500 Cr
0.7500 0.7500 0.7500 Cr
0.0000 0.0000 0.0000 Sb
0.5000 0.5000 0.5000 P
```

volume: 57.7 Å³/f.u.
electronic total energy: -27.7 eV/cell
formation energy from raw total energies: 0.28 eV/atom

---

Density functional theory data (PBE) for Pm2SiAg2O6 after structural relaxation.

Cell and atoms, written as POSCAR:
```
Pm2SiAg2O6
1.0
2.8812 -5.1189 0.0000
2.8812 5.1189 0.0000
-0.6757 0.0000 6.1944
Pm Si Ag O
2 1 2 6
Direct
0.1629 0.8371 0.0000 Pm
0.8371 0.1629 0.0000 Pm
0.5000 0.5000 0.0000 Si
0.3573 0.6427 0.5000 Ag
0.6427 0.3573 0.5000 Ag
0.2156 0.2156 0.8576 O
0.2554 0.5298 0.1672 O
0.4702 0.7446 0.8328 O
0.5298 0.2554 0.1672 O
0.7446 0.4702 0.8328 O
0.7844 0.7844 0.1424 O
```

volume: 182.7 Å³/f.u.
electronic total energy: -73.8 eV/cell
formation energy from raw total energies: -2.13 eV/atom

---

Density functional theory data (PBE) for Nd2Y5Er12 after structural relaxation.

Cell and atoms, written as POSCAR:
```
Nd2Y5Er12
1.0
7.9153 -4.5754 0.0000
7.9153 4.5754 0.0000
-0.1894 0.0000 8.4830
Nd Y Er
2 5 12
Direct
0.1865 0.8135 0.0000 Nd
0.8135 0.1865 0.0000 Nd
0.1976 0.1976 0.0063 Y
0.2660 0.2660 0.4229 Y
0.5000 0.5000 0.5000 Y
0.7340 0.7340 0.5771 Y
0.8024 0.8024 0.9937 Y
0.0556 0.0556 0.3291 Er
0.0659 0.6817 0.3479 Er
0.1619 0.5247 0.7532 Er
0.3183 0.9342 0.6521 Er
0.4056 0.4056 0.1154 Er
0.4753 0.8381 0.2468 Er
0.5247 0.1619 0.7532 Er
0.5944 0.5944 0.8846 Er
0.6817 0.0659 0.3479 Er
0.8381 0.4753 0.2468 Er
0.9342 0.3183 0.6521 Er
0.9444 0.9444 0.6709 Er
```

volume: 614.4 Å³/f.u.
distance to the lowest polymorph of the same formula: 104 meV per atom
electronic total energy: -94.2 eV/cell
energy of formation from the pure elements: 236 kJ/mol of formula units

---

Density functional theory data (PBE) for SmMg2Zn6 after structural relaxation.

Cell and atoms, written as POSCAR:
```
SmMg2Zn6
1.0
-1.7943 3.7146 6.4957
1.7943 -3.7146 6.4957
1.7943 3.7146 -6.4957
Sm Mg Zn
1 2 6
Direct
0.0000 0.0000 0.0000 Sm
0.3649 0.8649 0.5000 Mg
0.6351 0.1351 0.5000 Mg
0.0044 0.3199 0.6845 Zn
0.3285 0.5000 0.8285 Zn
0.3646 0.6801 0.6845 Zn
0.6354 0.3199 0.3155 Zn
0.6715 0.5000 0.1715 Zn
0.9956 0.6801 0.3155 Zn
```

volume: 173.2 Å³/f.u.
distance to the lowest polymorph of the same formula: 0 meV per atom
electronic total energy: -16.9 eV/cell
energy of formation from the pure elements: -128 kJ/mol of formula units

---

Density functional theory data (PBE) for Ti4Cu2O after structural relaxation.

Cell and atoms, written as POSCAR:
```
Ti4Cu2O
1.0
0.0000 5.7263 5.7263
5.7263 0.0000 5.7263
5.7263 5.7263 0.0000
Ti Cu O
16 8 4
Direct
0.0000 0.0000 0.0000 Ti
0.0000 0.0000 0.5000 Ti
0.0000 0.5000 0.0000 Ti
0.1943 0.1943 0.5557 Ti
0.1943 0.5557 0.1943 Ti
0.1943 0.5557 0.5557 Ti
0.4443 0.4443 0.8057 Ti
0.4443 0.8057 0.4443 Ti
0.4443 0.8057 0.8057 Ti
0.5000 0.0000 0.0000 Ti
0.5557 0.1943 0.1943 Ti
0.5557 0.1943 0.5557 Ti
0.5557 0.5557 0.1943 Ti
0.8057 0.4443 0.4443 Ti
0.8057 0.4443 0.8057 Ti
0.8057 0.8057 0.4443 Ti
0.1255 0.7915 0.7915 Cu
0.2085 0.2085 0.2085 Cu
0.2085 0.2085 0.8745 Cu
0.2085 0.8745 0.2085 Cu
0.7915 0.1255 0.7915 Cu
0.7915 0.7915 0.1255 Cu
0.7915 0.7915 0.7915 Cu
0.8745 0.2085 0.2085 Cu
0.0000 0.5000 0.5000 O
0.5000 0.0000 0.5000 O
0.5000 0.5000 0.0000 O
0.5000 0.5000 0.5000 O
```

volume: 93.9 Å³/f.u.
distance to the lowest polymorph of the same formula: 0 meV per atom
electronic total energy: -203.4 eV/cell
formation energy from raw total energies: -0.87 eV/atom

---

Density functional theory data (PBE) for Pr7MgIn3 after structural relaxation.

Cell and atoms, written as POSCAR:
```
Pr7MgIn3
1.0
5.8245 -6.0034 0.0000
5.8245 6.0034 0.0000
-3.0460 0.0000 5.1573
Pr Mg In
7 1 3
Direct
0.0000 0.0000 0.0000 Pr
0.1004 0.5550 0.3269 Pr
0.3265 0.3265 0.8288 Pr
0.4450 0.8996 0.6731 Pr
0.5550 0.1004 0.3269 Pr
0.6735 0.6735 0.1712 Pr
0.8996 0.4450 0.6731 Pr
0.0000 0.0000 0.5000 Mg
0.2644 0.7356 0.0000 In
0.5000 0.5000 0.5000 In
0.7356 0.2644 0.0000 In
```

volume: 360.7 Å³/f.u.
electronic total energy: -44.7 eV/cell
energy of formation from the pure elements: -141 kJ/mol of formula units

---

Density functional theory data (PBE) for La2Pm6Er after structural relaxation.

Cell and atoms, written as POSCAR:
```
La2Pm6Er
1.0
3.6268 0.0000 0.0000
-1.8134 3.1409 0.0000
0.0000 0.0000 27.9413
La Pm Er
2 6 1
Direct
0.0000 0.0000 0.0635 La
0.0000 0.0000 0.9365 La
0.0000 0.0000 0.3966 Pm
0.0000 0.0000 0.6034 Pm
0.6667 0.3333 0.1680 Pm
0.6667 0.3333 0.2916 Pm
0.6667 0.3333 0.7084 Pm
0.6667 0.3333 0.8320 Pm
0.6667 0.3333 0.5000 Er
```

volume: 318.3 Å³/f.u.
electronic total energy: -42.0 eV/cell
energy of formation from the pure elements: 89 kJ/mol of formula units

---

Density functional theory data (PBE) for NpTl4S5 after structural relaxation.

Cell and atoms, written as POSCAR:
```
NpTl4S5
1.0
-4.9087 4.9087 2.9113
4.9087 -4.9087 2.9113
4.9087 4.9087 -2.9113
Np Tl S
1 4 5
Direct
0.0000 0.0000 0.0000 Np
0.1874 0.4128 0.6013 Tl
0.4128 0.8115 0.2254 Tl
0.5861 0.1874 0.7746 Tl
0.8115 0.5861 0.3987 Tl
0.1052 0.7681 0.8742 S
0.2310 0.1052 0.3371 S
0.4991 0.4991 0.0000 S
0.7681 0.8940 0.6629 S
0.8940 0.2310 0.1258 S
```

volume: 280.6 Å³/f.u.
electronic total energy: -49.0 eV/cell
formation energy from raw total energies: -0.60 eV/atom